No. 1
PmPuMgRh | PBE | relaxed

Cell lengths 5.105, 5.105, 5.105 Å; angles 60.00, 60.00, 60.00 degrees
Site moments in Bohr magnetons follow the coordinates.
Element x y z (fractional)
Mg: 0.500 0.500 0.500  -0.01
Rh: 0.000 0.000 0.000  -0.27
Pu: 0.250 0.250 0.250  5.32
Pm: 0.750 0.750 0.750  0.04

Output
- total energy (eV per atom) = -7.1548
- spin magnetization (μB per cell) = 5.4
- space-group type = F-43m (216)
- formation energy (eV per atom) = -0.148



No. 2
PmPuMgRu | PBE | relaxed

Cell lengths 5.067, 5.067, 5.067 Å; angles 60.00, 60.00, 60.00 degrees
Site moments in Bohr magnetons follow the coordinates.
Element x y z (fractional)
Pm: 0.750 0.750 0.750  0.10
Mg: 0.500 0.500 0.500  0.02
Pu: 0.250 0.250 0.250  5.34
Ru: 0.000 0.000 0.000  -0.34

Output
- total energy (eV per atom) = -7.4458
- spin magnetization (μB per cell) = 5.7
- space-group type = F-43m (216)
- formation energy (eV per atom) = 0.042



No. 3
PmPuMgSb | PBE | relaxed

Cell lengths 5.371, 5.371, 5.371 Å; angles 60.00, 60.00, 60.00 degrees
Site moments in Bohr magnetons follow the coordinates.
Element x y z (fractional)
Sb: 0.000 0.000 0.000  -0.03
Pm: 0.750 0.750 0.750  0.28
Pu: 0.250 0.250 0.250  5.61
Mg: 0.500 0.500 0.500  0.01

Output
- total energy (eV per atom) = -6.5035
- spin magnetization (μB per cell) = 6.7
- raw formation energy (eV/atom) = -0.304
- space-group type = F-43m (216)